Density functional theory data (PBEsol) for a relaxed structure of RbOsRu2.

- Total energy: -26.49 eV for the cell shown
- Fermi-level density of states: 1.529 states/eV/atom
- M_tot: 0.116 μB/atom

abc: 4.514 4.514 4.514
angles: 60.00 60.00 60.00
Positions (direct):
Ru1 0.250 0.250 0.250
Ru2 0.750 0.750 0.750
Rb1 0.000 0.000 0.000
Os1 0.500 0.500 0.500